1.
{
  "formula": "Sm5Sn9Pt7",
  "functional": "PBE",
  "state": "optimized geometry",
  "dft_energy_ev_per_cell": -120.883,
  "lattice": [[4.380, 0.000, 0.000], [0.000, 14.539, 3.667], [0.000, -14.539, 3.667]],
  "species": ["Pt", "Pt", "Pt", "Pt", "Pt", "Pt", "Pt", "Sm", "Sm", "Sm", "Sm", "Sm", "Sn", "Sn", "Sn", "Sn", "Sn", "Sn", "Sn", "Sn", "Sn"],
  "fractional_positions": [[0.500, 0.794, 0.088], [0.000, 0.694, 0.276], [0.500, 0.470, 0.321], [0.500, 0.321, 0.470], [0.000, 0.276, 0.694], [0.500, 0.088, 0.794], [0.000, 0.891, 0.891], [0.000, 0.297, 0.297], [0.500, 0.967, 0.424], [0.000, 0.791, 0.613], [0.000, 0.613, 0.791], [0.500, 0.424, 0.967], [0.000, 0.669, 0.072], [0.500, 0.971, 0.082], [0.000, 0.361, 0.098], [0.000, 0.098, 0.361], [0.500, 0.722, 0.403], [0.500, 0.632, 0.632], [0.000, 0.072, 0.669], [0.500, 0.403, 0.722], [0.500, 0.082, 0.971]]
}

2.
{
  "formula": "SrSm2Pt9",
  "functional": "PBE",
  "state": "optimized geometry",
  "dft_energy_ev_per_cell": -75.787,
  "lattice": [[2.739, 1.581, 8.861], [-2.739, 1.581, 8.861], [0.000, -3.163, 8.861]],
  "species": ["Pt", "Pt", "Pt", "Pt", "Pt", "Pt", "Pt", "Pt", "Pt", "Sm", "Sm", "Sr"],
  "fractional_positions": [[0.587, 0.587, 0.081], [0.333, 0.333, 0.333], [0.919, 0.413, 0.413], [0.413, 0.919, 0.413], [0.500, 0.500, 0.500], [0.587, 0.081, 0.587], [0.081, 0.587, 0.587], [0.667, 0.667, 0.667], [0.413, 0.413, 0.919], [0.140, 0.140, 0.140], [0.860, 0.860, 0.860], [0.000, 0.000, 0.000]]
}

3.
{
  "formula": "SmTaPt",
  "functional": "PBE",
  "state": "optimized geometry",
  "e_form_ev_per_atom": -0.0001,
  "polymorph_energy_mev_per_atom": 0.0,
  "lattice": [[0.000, 3.305, 3.305], [3.305, 0.000, 3.305], [3.305, 3.305, 0.000]],
  "species": ["Pt", "Sm", "Ta"],
  "fractional_positions": [[0.000, 0.000, 0.000], [0.250, 0.250, 0.250], [0.750, 0.750, 0.750]]
}

4.
{
  "formula": "SmTaPt",
  "functional": "PBE",
  "state": "optimized geometry",
  "e_form_ev_per_atom": 0.9409,
  "polymorph_energy_mev_per_atom": 941.0,
  "lattice": [[0.000, 3.290, 3.290], [3.290, 0.000, 3.290], [3.290, 3.290, 0.000]],
  "species": ["Pt", "Sm", "Ta"],
  "fractional_positions": [[0.250, 0.250, 0.250], [0.000, 0.000, 0.000], [0.750, 0.750, 0.750]]
}

5.
{
  "formula": "TbSmPt2",
  "functional": "PBE",
  "state": "optimized geometry",
  "e_form_ev_per_atom": -1.2249,
  "lattice": [[-3.138, -3.116, -1.016], [-2.444, 0.823, 5.025], [-3.959, 3.182, 2.470]],
  "species": ["Pt", "Pt", "Sm", "Tb"],
  "fractional_positions": [[0.000, 0.088, 0.088], [0.500, 0.913, 0.913], [0.000, 0.361, 0.361], [0.500, 0.637, 0.637]]
}

6.
{
  "formula": "SmTcPt",
  "functional": "PBE",
  "state": "optimized geometry",
  "e_form_ev_per_atom": 0.6805,
  "polymorph_energy_mev_per_atom": 541.0,
  "lattice": [[2.859, -3.524, -0.807], [-0.483, -3.941, 2.340], [-1.545, -3.777, -2.142]],
  "species": ["Pt", "Sm", "Tc"],
  "fractional_positions": [[0.250, 0.250, 0.250], [0.000, 0.000, 0.000], [0.750, 0.750, 0.750]]
}

7.
{
  "formula": "SmTcPt",
  "functional": "PBE",
  "state": "optimized geometry",
  "e_form_ev_per_atom": 0.1395,
  "polymorph_energy_mev_per_atom": 0.0,
  "lattice": [[0.000, 3.271, 3.271], [3.271, 0.000, 3.271], [3.271, 3.271, 0.000]],
  "species": ["Pt", "Sm", "Tc"],
  "fractional_positions": [[0.000, 0.000, 0.000], [0.250, 0.250, 0.250], [0.750, 0.750, 0.750]]
}

8.
{
  "formula": "Sm7Te2Pt2",
  "functional": "PBE",
  "state": "optimized geometry",
  "dft_energy_ev_per_cell": -62.261,
  "lattice": [[-2.008, 8.105, 4.885], [2.008, -8.105, 4.885], [2.008, 8.105, -4.885]],
  "species": ["Pt", "Pt", "Sm", "Sm", "Sm", "Sm", "Sm", "Sm", "Sm", "Te", "Te"],
  "fractional_positions": [[0.643, 0.405, 0.238], [0.167, 0.405, 0.762], [0.478, 0.478, 0.000], [0.023, 0.895, 0.128], [0.418, 0.100, 0.318], [0.097, 0.742, 0.355], [0.386, 0.742, 0.645], [0.781, 0.100, 0.682], [0.767, 0.895, 0.872], [0.144, 0.144, 0.000], [0.740, 0.240, 0.500]]
}

9.
{
  "formula": "SmThPt",
  "functional": "PBE",
  "state": "optimized geometry",
  "e_form_ev_per_atom": -0.6110,
  "polymorph_energy_mev_per_atom": 0.0,
  "lattice": [[-2.614, -4.009, 1.441], [-4.437, -0.972, -2.085], [-0.509, -3.894, -3.091]],
  "species": ["Pt", "Sm", "Th"],
  "fractional_positions": [[0.000, 0.000, 0.000], [0.250, 0.250, 0.250], [0.750, 0.750, 0.750]]
}

10.
{
  "formula": "SmUPt",
  "functional": "PBE",
  "state": "optimized geometry",
  "e_form_ev_per_atom": -0.1607,
  "polymorph_energy_mev_per_atom": 0.0,
  "lattice": [[-1.878, -4.257, 1.396], [-3.612, -0.113, 3.246], [-4.481, -1.252, -1.395]],
  "species": ["Pt", "Sm", "U"],
  "fractional_positions": [[0.000, 0.000, 0.000], [0.250, 0.250, 0.250], [0.750, 0.750, 0.750]]
}

11.
{
  "formula": "Sm3Y2Pt2",
  "functional": "PBE",
  "state": "optimized geometry",
  "e_form_ev_per_atom": -0.6389,
  "lattice": [[2.316, -11.159, 0.000], [2.316, 11.159, 0.000], [0.000, 0.000, 3.772]],
  "species": ["Pt", "Pt", "Sm", "Sm", "Sm", "Y", "Y"],
  "fractional_positions": [[0.792, 0.208, 0.000], [0.208, 0.792, 0.000], [0.684, 0.316, 0.500], [0.500, 0.500, 0.500], [0.316, 0.684, 0.500], [0.917, 0.083, 0.000], [0.083, 0.917, 0.000]]
}

12.
{
  "formula": "SmZnPt",
  "functional": "PBE",
  "state": "optimized geometry",
  "e_form_ev_per_atom": -0.7487,
  "lattice": [[0.000, 3.289, 3.289], [3.289, 0.000, 3.289], [3.289, 3.289, 0.000]],
  "species": ["Pt", "Sm", "Zn"],
  "fractional_positions": [[0.000, 0.000, 0.000], [0.250, 0.250, 0.250], [0.750, 0.750, 0.750]]
}